Material: BaTbBO4
Method: DFT, PBE
State: optimized geometry

```
BaTbBO4
1.0
5.080 0.000 0.000
0.000 5.425 0.000
-2.473 0.000 6.831
Ba Tb B O
2 2 2 8
direct
0.192 0.250 0.417
0.808 0.750 0.583
0.284 0.250 0.964
0.716 0.750 0.036
0.295 0.750 0.184
0.705 0.250 0.816
0.114 0.750 0.309
0.126 0.750 0.968
0.483 0.526 0.221
0.483 0.974 0.221
0.517 0.026 0.779
0.517 0.474 0.779
0.874 0.250 0.032
0.886 0.250 0.691
```

Magnetization = 0.00 μB/cell
Energy relative to the elements, uncorrected = -2.9905 eV/atom